Record 1
A plane-wave DFT calculation with PBE was carried out for a relaxed LaPr3Tl crystal.

E above lowest polymorph = 0.000 eV/atom
calculated volume = 32.994 A^3/atom
total energy = -22.3 eV per formula unit
formation energy = -0.130 eV/atom

Cell lengths 6.3058, 5.7686, 9.5677 Å; angles 90.00, 108.56, 90.00 degrees
Fractional positions:
La (0.2451, 0.2500, 0.2224)
La (0.7549, 0.7500, 0.7776)
Pr (0.1412, 0.7500, 0.6060)
Pr (0.3036, 0.7500, 0.9964)
Pr (0.4916, 0.7500, 0.3801)
Pr (0.5084, 0.2500, 0.6199)
Pr (0.6964, 0.2500, 0.0036)
Pr (0.8588, 0.2500, 0.3940)
Tl (0.0983, 0.2500, 0.8083)
Tl (0.9017, 0.7500, 0.1917)

=====

Record 2
A plane-wave DFT calculation with PBE was carried out for a relaxed La5Pr2Tl crystal.

calculated volume = 34.144 A^3/atom
total energy = -37.3 eV per formula unit
formation energy = -0.091 eV/atom

Cell lengths 7.2820, 7.2820, 7.2734 Å; angles 119.96, 119.96, 60.13 degrees
Fractional positions:
La (0.0000, 0.0000, 0.0000)
La (0.0002, 0.5013, 0.0035)
La (0.4992, 0.9985, 0.5010)
La (0.5013, 0.0002, 0.0035)
La (0.9985, 0.4992, 0.5010)
Pr (0.0001, 0.0001, 0.5024)
Pr (0.4998, 0.4998, 0.5043)
Tl (0.4994, 0.4994, 0.0015)